w) InSbCl2 | PBE | optimized geometry

```
InSbCl2
1.0
3.493 0.000 0.000
0.000 6.109 0.000
0.000 0.000 9.654
In Sb Cl
2 2 4
Direct
0.000 0.000 0.000
0.500 0.500 0.000
0.000 0.000 0.500
0.500 0.500 0.500
0.000 0.500 0.263
0.000 0.500 0.737
0.500 0.000 0.263
0.500 0.000 0.737
```

Output
M_tot   0.0 μB/f.u.
Fermi-level density of states   1.44 states/eV/f.u.
ρ   4.96 g/cm³



x) InSbCl2 | PBE | optimized geometry

```
InSbCl2
1.0
3.530 0.000 0.000
-1.765 3.057 0.000
0.000 0.000 30.705
In Sb Cl
3 3 6
Direct
0.000 0.000 0.000
0.333 0.667 0.667
0.667 0.333 0.333
0.000 0.000 0.241
0.333 0.667 0.908
0.667 0.333 0.574
0.000 0.000 0.507
0.000 0.000 0.726
0.333 0.667 0.174
0.333 0.667 0.393
0.667 0.333 0.060
0.667 0.333 0.841
```

Output
M_tot   0.0 μB/f.u.
Fermi-level density of states   2.41 states/eV/f.u.
ρ   4.62 g/cm³



Which one sits at the top of the stability order? w) does.



w) InSbCl2 | PBE | optimized geometry

```
InSbCl2
1.0
3.507 0.000 0.000
0.000 4.752 0.000
0.000 0.000 5.937
In Sb Cl
1 1 2
Direct
0.000 0.000 0.000
0.500 0.000 0.500
0.000 0.500 0.500
0.500 0.500 0.000
```

Output
M_tot   0.0 μB/f.u.
Fermi-level density of states   1.62 states/eV/f.u.
ρ   5.16 g/cm³



x) InSbCl2 | PBE | optimized geometry

```
InSbCl2
1.0
3.614 0.000 0.000
0.000 4.630 0.000
-0.846 0.000 6.347
In Sb Cl
1 1 2
Direct
0.000 0.000 0.000
0.500 0.000 0.500
0.356 0.500 0.733
0.644 0.500 0.267
```

Output
M_tot   0.0 μB/f.u.
Fermi-level density of states   1.15 states/eV/f.u.
ρ   4.81 g/cm³



y) InSbCl2 | PBE | optimized geometry

```
InSbCl2
1.0
8.371 0.000 0.000
0.000 8.371 0.000
0.000 0.000 6.639
In Sb Cl
4 4 8
Direct
0.000 0.000 0.000
0.000 0.500 0.250
0.500 0.000 0.750
0.500 0.500 0.500
0.000 0.000 0.500
0.000 0.500 0.750
0.500 0.000 0.250
0.500 0.500 0.000
0.208 0.250 0.625
0.250 0.708 0.875
0.250 0.792 0.375
0.292 0.250 0.125
0.708 0.750 0.125
0.750 0.208 0.375
0.750 0.292 0.875
0.792 0.750 0.625
```

Output
M_tot   0.0 μB/f.u.
Fermi-level density of states   2.11 states/eV/f.u.
ρ   4.39 g/cm³



Which one sits at the top of the stability order? x) does.



w) InSbCl2 | PBE | optimized geometry

```
InSbCl2
1.0
5.616 0.000 0.000
0.000 5.616 0.000
0.000 0.000 3.305
In Sb Cl
1 1 2
Direct
0.000 0.000 0.000
0.500 0.500 0.000
0.000 0.500 0.500
0.500 0.000 0.500
```

Output
M_tot   0.0 μB/f.u.
Fermi-level density of states   2.02 states/eV/f.u.
ρ   4.90 g/cm³



x) InSbCl2 | PBE | optimized geometry

```
InSbCl2
1.0
7.491 0.000 0.000
0.000 7.491 0.000
0.000 0.000 7.491
In Sb Cl
4 4 8
Direct
0.000 0.000 0.000
0.000 0.500 0.500
0.500 0.000 0.500
0.500 0.500 0.000
0.000 0.000 0.500
0.000 0.500 0.000
0.500 0.000 0.000
0.500 0.500 0.500
0.250 0.250 0.250
0.250 0.250 0.750
0.250 0.750 0.250
0.250 0.750 0.750
0.750 0.250 0.250
0.750 0.250 0.750
0.750 0.750 0.250
0.750 0.750 0.750
```

Output
M_tot   1.2 μB/f.u.
Fermi-level density of states   3.04 states/eV/f.u.
ρ   4.86 g/cm³



Which one sits at the top of the stability order? w) does.



w) InSbCl2 | PBE | optimized geometry

```
InSbCl2
1.0
6.834 0.000 0.000
0.000 8.971 0.000
0.000 0.000 3.295
In Sb Cl
2 2 4
Direct
0.000 0.000 0.000
0.500 0.500 0.000
0.000 0.500 0.000
0.500 0.000 0.000
0.250 0.250 0.500
0.250 0.750 0.500
0.750 0.250 0.500
0.750 0.750 0.500
```

Output
M_tot   0.0 μB/f.u.
Fermi-level density of states   2.51 states/eV/f.u.
ρ   5.06 g/cm³



x) InSbCl2 | PBE | optimized geometry

```
InSbCl2
1.0
6.869 0.000 0.000
0.000 9.458 0.000
-1.679 0.000 3.098
In Sb Cl
2 2 4
Direct
0.000 0.000 0.000
0.500 0.500 0.000
0.000 0.500 0.000
0.500 0.000 0.000
0.250 0.250 0.500
0.250 0.750 0.500
0.750 0.250 0.500
0.750 0.750 0.500
```

Output
M_tot   0.0 μB/f.u.
Fermi-level density of states   1.77 states/eV/f.u.
ρ   5.07 g/cm³



Which one sits at the top of the stability order? x) does.



w) InSbCl2 | PBE | optimized geometry

```
InSbCl2
1.0
12.595 0.000 0.000
0.000 3.499 0.000
-2.589 0.000 5.132
In Sb Cl
2 2 4
Direct
0.000 0.000 0.000
0.500 0.500 0.000
0.242 0.000 0.949
0.742 0.500 0.949
0.089 0.500 0.400
0.330 0.000 0.421
0.589 0.000 0.400
0.830 0.500 0.421
```

Output
M_tot   0.0 μB/f.u.
Fermi-level density of states   1.40 states/eV/f.u.
ρ   4.52 g/cm³



x) InSbCl2 | PBE | optimized geometry

```
InSbCl2
1.0
7.296 0.000 0.000
0.000 7.296 0.000
0.000 0.000 7.296
In Sb Cl
4 4 8
Direct
0.000 0.000 0.000
0.000 0.500 0.500
0.500 0.000 0.500
0.500 0.500 0.000
0.250 0.250 0.250
0.250 0.750 0.750
0.750 0.250 0.750
0.750 0.750 0.250
0.000 0.000 0.500
0.000 0.500 0.000
0.250 0.250 0.750
0.250 0.750 0.250
0.500 0.000 0.000
0.500 0.500 0.500
0.750 0.250 0.250
0.750 0.750 0.750
```

Output
M_tot   0.0 μB/f.u.
Fermi-level density of states   5.17 states/eV/f.u.
ρ   5.26 g/cm³



y) InSbCl2 | PBE | optimized geometry

```
InSbCl2
1.0
4.651 0.000 0.000
0.000 4.651 0.000
0.000 0.000 9.162
In Sb Cl
2 2 4
Direct
0.000 0.000 0.000
0.500 0.500 0.500
0.000 0.000 0.500
0.500 0.500 0.000
0.000 0.500 0.250
0.000 0.500 0.750
0.500 0.000 0.250
0.500 0.000 0.750
```

Output
M_tot   0.0 μB/f.u.
Fermi-level density of states   2.96 states/eV/f.u.
ρ   5.15 g/cm³



Which one sits at the top of the stability order? w) does.



w) InSbCl2 | PBE | optimized geometry

```
InSbCl2
1.0
3.348 0.000 0.000
0.000 4.561 0.000
0.000 0.000 6.572
In Sb Cl
1 1 2
Direct
0.000 0.000 0.000
0.000 0.000 0.500
0.500 0.500 0.256
0.500 0.500 0.744
```

Output
M_tot   0.0 μB/f.u.
Fermi-level density of states   2.10 states/eV/f.u.
ρ   5.09 g/cm³



x) InSbCl2 | PBE | optimized geometry

```
InSbCl2
1.0
4.005 0.000 0.000
0.000 5.922 0.000
0.000 0.000 9.888
In Sb Cl
2 2 4
Direct
0.000 0.000 0.000
0.500 0.500 0.500
0.000 0.000 0.500
0.500 0.500 0.000
0.000 0.500 0.191
0.000 0.500 0.809
0.500 0.000 0.309
0.500 0.000 0.691
```

Output
M_tot   0.0 μB/f.u.
Fermi-level density of states   0.56 states/eV/f.u.
ρ   4.35 g/cm³



Which one sits at the top of the stability order? x) does.



w) InSbCl2 | PBE | optimized geometry

```
InSbCl2
1.0
4.695 0.000 0.000
0.000 4.695 0.000
0.000 0.000 4.492
In Sb Cl
1 1 2
Direct
0.000 0.000 0.000
0.500 0.500 0.000
0.000 0.500 0.500
0.500 0.000 0.500
```

Output
M_tot   0.0 μB/f.u.
Fermi-level density of states   3.01 states/eV/f.u.
ρ   5.16 g/cm³



x) InSbCl2 | PBE | optimized geometry

```
InSbCl2
1.0
3.632 0.000 0.000
-1.816 3.146 0.000
0.000 0.000 29.463
In Sb Cl
3 3 6
Direct
0.000 0.000 0.000
0.333 0.667 0.667
0.667 0.333 0.333
0.000 0.000 0.500
0.333 0.667 0.167
0.667 0.333 0.833
0.000 0.000 0.410
0.000 0.000 0.590
0.333 0.667 0.077
0.333 0.667 0.256
0.667 0.333 0.744
0.667 0.333 0.923
```

Output
M_tot   0.0 μB/f.u.
Fermi-level density of states   0.92 states/eV/f.u.
ρ   4.55 g/cm³



y) InSbCl2 | PBE | optimized geometry

```
InSbCl2
1.0
3.589 0.000 0.000
0.000 3.589 0.000
0.000 0.000 8.525
In Sb Cl
1 1 2
Direct
0.000 0.000 0.000
0.500 0.500 0.243
0.000 0.000 0.432
0.500 0.500 0.819
```

Output
M_tot   0.0 μB/f.u.
Fermi-level density of states   2.97 states/eV/f.u.
ρ   4.65 g/cm³



z) InSbCl2 | PBE | optimized geometry

```
InSbCl2
1.0
3.373 0.000 0.000
0.000 3.373 0.000
0.000 0.000 8.911
In Sb Cl
1 1 2
Direct
0.000 0.000 0.000
0.000 0.000 0.500
0.500 0.500 0.237
0.500 0.500 0.763
```

Output
M_tot   0.0 μB/f.u.
Fermi-level density of states   1.48 states/eV/f.u.
ρ   5.04 g/cm³



Which one sits at the top of the stability order? x) does.



w) InSbCl2 | PBE | optimized geometry

```
InSbCl2
1.0
3.543 0.000 0.000
0.000 6.168 0.000
0.000 0.000 10.348
In Sb Cl
2 2 4
Direct
0.000 0.000 0.000
0.500 0.500 0.000
0.000 0.500 0.278
0.500 0.000 0.278
0.000 0.000 0.476
0.000 0.500 0.813
0.500 0.000 0.813
0.500 0.500 0.476
```

Output
M_tot   0.0 μB/f.u.
Fermi-level density of states   2.36 states/eV/f.u.
ρ   4.52 g/cm³



x) InSbCl2 | PBE | optimized geometry

```
InSbCl2
1.0
3.561 0.000 0.000
0.000 5.812 0.000
0.000 0.000 5.329
In Sb Cl
1 1 2
Direct
0.000 0.000 0.000
0.500 0.500 0.002
0.000 0.000 0.495
0.500 0.500 0.550
```

Output
M_tot   0.0 μB/f.u.
Fermi-level density of states   0.97 states/eV/f.u.
ρ   4.63 g/cm³



Which one sits at the top of the stability order? x) does.



w) In2Sb2Cl | PBE | optimized geometry

```
In2Sb2Cl
1.0
8.664 0.000 0.000
0.000 8.664 0.000
0.000 0.000 3.691
In Sb Cl
4 4 2
Direct
0.150 0.350 0.000
0.350 0.850 0.000
0.650 0.150 0.000
0.850 0.650 0.000
0.149 0.649 0.500
0.351 0.149 0.500
0.649 0.851 0.500
0.851 0.351 0.500
0.000 0.000 0.500
0.500 0.500 0.500
```

Output
M_tot   0.0 μB/f.u.
Fermi-level density of states   2.68 states/eV/f.u.
ρ   6.10 g/cm³



x) In2Sb2Cl | PBE | optimized geometry

```
In2Sb2Cl
1.0
5.572 0.000 0.000
0.000 5.572 0.000
0.000 0.000 9.790
In Sb Cl
4 4 2
Direct
0.000 0.500 0.250
0.000 0.500 0.750
0.500 0.000 0.250
0.500 0.000 0.750
0.000 0.000 0.144
0.000 0.000 0.856
0.500 0.500 0.356
0.500 0.500 0.644
0.000 0.000 0.500
0.500 0.500 0.000
```

Output
M_tot   0.0 μB/f.u.
Fermi-level density of states   0.99 states/eV/f.u.
ρ   5.56 g/cm³



Which one sits at the top of the stability order? x) does.



w) InSb2TeCl | PBE | optimized geometry

```
InSb2TeCl
1.0
5.770 0.000 0.000
0.000 5.770 0.000
0.000 0.000 6.341
In Sb Te Cl
1 2 1 1
Direct
0.000 0.000 0.000
0.000 0.500 0.500
0.500 0.000 0.500
0.500 0.500 0.000
0.500 0.500 0.500
```

Output
M_tot   0.7 μB/f.u.
Fermi-level density of states   5.87 states/eV/f.u.
ρ   4.10 g/cm³



x) InSb2TeCl | PBE | optimized geometry

```
InSb2TeCl
1.0
5.708 0.000 0.000
0.000 5.708 0.000
0.000 0.000 5.618
In Sb Te Cl
1 2 1 1
Direct
0.000 0.000 0.000
0.000 0.500 0.000
0.500 0.000 0.000
0.000 0.000 0.500
0.500 0.500 0.500
```

Output
M_tot   0.0 μB/f.u.
Fermi-level density of states   3.39 states/eV/f.u.
ρ   4.73 g/cm³



Which one sits at the top of the stability order? x) does.



w) ScIn2Cl | PBE | optimized geometry

```
ScIn2Cl
1.0
5.102 0.000 0.000
0.000 5.102 0.000
0.000 0.000 7.150
Sc In Cl
2 4 2
Direct
0.000 0.000 0.000
0.500 0.500 0.500
0.000 0.000 0.500
0.000 0.500 0.750
0.500 0.000 0.250
0.500 0.500 0.000
0.000 0.500 0.250
0.500 0.000 0.750
```

Output
M_tot   0.0 μB/f.u.
Fermi-level density of states   0.64 states/eV/f.u.
ρ   5.53 g/cm³



x) ScIn2Cl | PBE | optimized geometry

```
ScIn2Cl
1.0
4.146 0.000 0.000
0.000 4.146 0.000
0.000 0.000 10.988
Sc In Cl
2 4 2
Direct
0.000 0.000 0.000
0.500 0.500 0.500
0.000 0.500 0.250
0.000 0.500 0.750
0.500 0.000 0.250
0.500 0.000 0.750
0.000 0.000 0.500
0.500 0.500 0.000
```

Output
M_tot   0.0 μB/f.u.
Fermi-level density of states   4.76 states/eV/f.u.
ρ   5.45 g/cm³



y) ScIn2Cl | PBE | optimized geometry

```
ScIn2Cl
1.0
5.388 0.000 0.000
0.000 5.388 0.000
0.000 0.000 3.333
Sc In Cl
1 2 1
Direct
0.000 0.000 0.000
0.000 0.500 0.500
0.500 0.000 0.500
0.500 0.500 0.000
```

Output
M_tot   0.0 μB/f.u.
Fermi-level density of states   3.33 states/eV/f.u.
ρ   5.32 g/cm³



z) ScIn2Cl | PBE | optimized geometry

```
ScIn2Cl
1.0
3.095 0.000 0.000
0.000 4.391 0.000
0.000 0.000 14.950
Sc In Cl
2 4 2
Direct
0.000 0.000 0.000
0.500 0.500 0.500
0.000 0.500 0.311
0.000 0.500 0.689
0.500 0.000 0.189
0.500 0.000 0.811
0.000 0.000 0.500
0.500 0.500 0.000
```

Output
M_tot   0.0 μB/f.u.
Fermi-level density of states   2.52 states/eV/f.u.
ρ   5.07 g/cm³



Which one sits at the top of the stability order? z) does.



w) ScIn2Cl | PBE | optimized geometry

```
ScIn2Cl
1.0
3.599 0.000 0.000
0.000 5.650 0.000
0.000 0.000 10.476
Sc In Cl
2 4 2
Direct
0.000 0.000 0.000
0.500 0.500 0.000
0.000 0.000 0.518
0.000 0.500 0.772
0.500 0.000 0.772
0.500 0.500 0.518
0.000 0.500 0.169
0.500 0.000 0.169
```

Output
M_tot   0.0 μB/f.u.
Fermi-level density of states   2.91 states/eV/f.u.
ρ   4.83 g/cm³



x) ScIn2Cl | PBE | optimized geometry

```
ScIn2Cl
1.0
7.441 0.000 0.000
0.000 7.441 0.000
0.000 0.000 7.441
Sc In Cl
4 8 4
Direct
0.000 0.000 0.000
0.000 0.500 0.500
0.500 0.000 0.500
0.500 0.500 0.000
0.250 0.250 0.250
0.250 0.250 0.750
0.250 0.750 0.250
0.250 0.750 0.750
0.750 0.250 0.250
0.750 0.250 0.750
0.750 0.750 0.250
0.750 0.750 0.750
0.000 0.000 0.500
0.000 0.500 0.000
0.500 0.000 0.000
0.500 0.500 0.500
```

Output
M_tot   0.0 μB/f.u.
Fermi-level density of states   3.35 states/eV/f.u.
ρ   5.00 g/cm³



Which one sits at the top of the stability order? w) does.